[1]
The following is a DFT calculation (GGA-PBE) of an optimized crystal structure of FeCuNi2.

## Properties
- total magnetization (μB per cell) = 10.677
- density of states at the Fermi level (states/eV/cell) = 17.9
- formation enthalpy at 0 K (eV per atom) = 0.03
- symmetry = R3m, No. 160

a b c (Å): 2.5120 2.5120 24.8652
angles (deg): 90.00 90.00 120.00
With the nearest neighbours (Å) after each atom.
Atoms (fractional coordinates):
Fe (0.0000, 0.0000, 0.0000)  3 Ni 2.49, 6 Fe 2.51, 3 Cu 2.59
Fe (0.3333, 0.6667, 0.6667)  3 Ni 2.49, 6 Fe 2.51, 3 Cu 2.59
Fe (0.6667, 0.3333, 0.3333)  3 Ni 2.49, 6 Fe 2.51, 3 Cu 2.59
Cu (0.0000, 0.0000, 0.2470)  6 Cu 2.51, 3 Ni 2.53, 3 Fe 2.59
Cu (0.3333, 0.6667, 0.9137)  6 Cu 2.51, 3 Ni 2.53, 3 Fe 2.59
Cu (0.6667, 0.3333, 0.5804)  6 Cu 2.51, 3 Ni 2.53, 3 Fe 2.59
Ni (0.0000, 0.0000, 0.4969)  9 Ni 2.51, 3 Cu 2.53
Ni (0.0000, 0.0000, 0.7479)  3 Fe 2.49, 9 Ni 2.51
Ni (0.3333, 0.6667, 0.1636)  9 Ni 2.51, 3 Cu 2.53
Ni (0.3333, 0.6667, 0.4146)  3 Fe 2.49, 9 Ni 2.51
Ni (0.6667, 0.3333, 0.0812)  3 Fe 2.49, 9 Ni 2.51
Ni (0.6667, 0.3333, 0.8302)  9 Ni 2.51, 3 Cu 2.53



[2]
The following is a DFT calculation (GGA-PBE) of an optimized crystal structure of FeCu2Ni.

## Properties
- total magnetization (μB per cell) = 9.115
- density of states at the Fermi level (states/eV/cell) = 6.4
- formation enthalpy at 0 K (eV per atom) = 0.08
- symmetry = R3m, No. 160

a b c (Å): 2.5228 2.5228 25.2833
angles (deg): 90.00 90.00 120.00
With the nearest neighbours (Å) after each atom.
Atoms (fractional coordinates):
Fe (0.0000, 0.0000, 0.0000)  6 Fe 2.52, 6 Cu 2.59
Fe (0.3333, 0.6667, 0.6667)  6 Fe 2.52, 6 Cu 2.59
Fe (0.6667, 0.3333, 0.3333)  6 Fe 2.52, 6 Cu 2.59
Cu (0.0000, 0.0000, 0.2486)  6 Cu 2.52, 3 Ni 2.54, 3 Fe 2.59
Cu (0.0000, 0.0000, 0.4179)  6 Cu 2.52, 3 Ni 2.53, 3 Fe 2.59
Cu (0.3333, 0.6667, 0.0846)  6 Cu 2.52, 3 Ni 2.53, 3 Fe 2.59
Cu (0.3333, 0.6667, 0.9153)  6 Cu 2.52, 3 Ni 2.54, 3 Fe 2.59
Cu (0.6667, 0.3333, 0.5819)  6 Cu 2.52, 3 Ni 2.54, 3 Fe 2.59
Cu (0.6667, 0.3333, 0.7512)  6 Cu 2.52, 3 Ni 2.53, 3 Fe 2.59
Ni (0.0000, 0.0000, 0.8331)  6 Ni 2.52, 6 Cu 2.53-2.54
Ni (0.3333, 0.6667, 0.4998)  6 Ni 2.52, 6 Cu 2.53-2.54
Ni (0.6667, 0.3333, 0.1665)  6 Ni 2.52, 6 Cu 2.53-2.54



[3]
The following is a DFT calculation (GGA-PBE) of an optimized crystal structure of FeCu2Ni.

## Properties
- total magnetization (μB per cell) = 3.332
- density of states at the Fermi level (states/eV/cell) = 3.1
- formation enthalpy at 0 K (eV per atom) = 0.05
- symmetry = Pm, No. 6

a b c (Å): 2.5332 3.5866 5.1293
angles (deg): 90.00 90.38 90.00
With the nearest neighbours (Å) after each atom.
Atoms (fractional coordinates):
Fe (0.0000, 0.0000, 0.0000)  4 Ni 2.49-2.50, 6 Cu 2.52-2.61, 2 Fe 2.53
Cu (0.4987, 0.5000, 0.7364)  6 Cu 2.53-2.54, 2 Ni 2.54-2.59, 4 Fe 2.58
Cu (0.9990, 0.0000, 0.4910)  2 Fe 2.52-2.61, 6 Cu 2.53-2.54, 4 Ni 2.56-2.57
Ni (0.5006, 0.5000, 0.2319)  4 Fe 2.49-2.50, 2 Ni 2.53, 6 Cu 2.54-2.59



[4]
The following is a DFT calculation (GGA-PBE) of an optimized crystal structure of Fe2Cu2Ni.

## Properties
- total magnetization (μB per cell) = 12.319
- density of states at the Fermi level (states/eV/cell) = 11.0
- formation enthalpy at 0 K (eV per atom) = 0.34
- symmetry = P4/mbm, No. 127

a b c (Å): 6.7991 6.7991 2.6661
angles (deg): 90.00 90.00 90.00
With the nearest neighbours (Å) after each atom.
Atoms (fractional coordinates):
Fe (0.1718, 0.3282, 0.0000)  6 Cu 2.35-2.45
Fe (0.3282, 0.8282, 0.0000)  6 Cu 2.35-2.45
Fe (0.6718, 0.1718, 0.0000)  6 Cu 2.35-2.45
Fe (0.8282, 0.6718, 0.0000)  6 Cu 2.35-2.45
Cu (0.1269, 0.6269, 0.5000)  6 Fe 2.35-2.45, 1 Cu 2.44
Cu (0.3731, 0.1269, 0.5000)  6 Fe 2.35-2.45, 1 Cu 2.44
Cu (0.6269, 0.8731, 0.5000)  6 Fe 2.35-2.45, 1 Cu 2.44
Cu (0.8731, 0.3731, 0.5000)  6 Fe 2.35-2.45, 1 Cu 2.44
Ni (0.0000, 0.0000, 0.5000)  2 Ni 2.67, 4 Cu 2.68, 8 Fe 2.85
Ni (0.5000, 0.5000, 0.5000)  2 Ni 2.67, 4 Cu 2.68, 8 Fe 2.85



[5]
The following is a DFT calculation (GGA-PBE) of an optimized crystal structure of FeCu2Ni.

## Properties
- total magnetization (μB per cell) = 3.235
- density of states at the Fermi level (states/eV/cell) = 3.8
- formation enthalpy at 0 K (eV per atom) = 0.12
- symmetry = Pmmm, No. 47

a b c (Å): 2.6634 4.1442 4.2641
angles (deg): 90.00 90.00 90.00
With the nearest neighbours (Å) after each atom.
Atoms (fractional coordinates):
Fe (0.0000, 0.0000, 0.0000)  4 Ni 2.46, 4 Cu 2.51, 2 Fe 2.66
Cu (0.0000, 0.5000, 0.5000)  6 Cu 2.46-2.66, 4 Ni 2.51
Cu (0.5000, 0.0000, 0.5000)  6 Cu 2.46-2.66, 4 Fe 2.51
Ni (0.5000, 0.5000, 0.0000)  4 Fe 2.46, 4 Cu 2.51, 2 Ni 2.66



[6]
The following is a DFT calculation (GGA-PBE) of an optimized crystal structure of FeCuNi2.

## Properties
- total magnetization (μB per cell) = 3.763
- density of states at the Fermi level (states/eV/cell) = 2.1
- formation enthalpy at 0 K (eV per atom) = -0.03
- symmetry = Pmmm, No. 47

a b c (Å): 2.5345 3.4934 5.1122
angles (deg): 90.00 90.00 90.00
With the nearest neighbours (Å) after each atom.
Atoms (fractional coordinates):
Fe (0.0000, 0.0000, 0.0000)  8 Ni 2.50, 2 Fe 2.53, 2 Cu 2.56
Cu (0.0000, 0.0000, 0.5000)  8 Ni 2.51, 2 Cu 2.53, 2 Fe 2.56
Ni (0.5000, 0.5000, 0.2486)  4 Fe 2.50, 4 Cu 2.51, 4 Ni 2.53-2.57
Ni (0.5000, 0.5000, 0.7514)  4 Fe 2.50, 4 Cu 2.51, 4 Ni 2.53-2.57



The highest total magnetization belongs to which entry?
Fe2Cu2Ni



Which of these has the lowest total magnetization?
number 5



Copy entry 3 word for word.
The following is a DFT calculation (GGA-PBE) of an optimized crystal structure of FeCu2Ni.

## Properties
- total magnetization (μB per cell) = 3.332
- density of states at the Fermi level (states/eV/cell) = 3.1
- formation enthalpy at 0 K (eV per atom) = 0.05
- symmetry = Pm, No. 6

a b c (Å): 2.5332 3.5866 5.1293
angles (deg): 90.00 90.38 90.00
With the nearest neighbours (Å) after each atom.
Atoms (fractional coordinates):
Fe (0.0000, 0.0000, 0.0000)  4 Ni 2.49-2.50, 6 Cu 2.52-2.61, 2 Fe 2.53
Cu (0.4987, 0.5000, 0.7364)  6 Cu 2.53-2.54, 2 Ni 2.54-2.59, 4 Fe 2.58
Cu (0.9990, 0.0000, 0.4910)  2 Fe 2.52-2.61, 6 Cu 2.53-2.54, 4 Ni 2.56-2.57
Ni (0.5006, 0.5000, 0.2319)  4 Fe 2.49-2.50, 2 Ni 2.53, 6 Cu 2.54-2.59



Which of these has the highest density of states at the Fermi level?
number 1